Record 1
Material: La2Dy7Tm3
Method: DFT, PBE
State: relaxed

Calculated values
**E_form**: 0.08 eV per atom
**Polymorph energy (0 for the lowest one)**: 0.000 eV per atom
**DOS at the Fermi energy**: 1.510 states/eV/atom
**Total energy**: -54.51 eV per formula unit

a b c (Å): 3.5141 6.3446 17.9124
angles (deg): 75.54 90.00 90.00
With the nearest neighbours (Å) after each atom.
Fractional coordinates of all 12 atoms:
La 0.5000 0.6129 0.3277  5 Dy 3.41-3.54, 2 La 3.51, 4 Tm 3.59-3.68
La 0.5000 0.3871 0.6723  5 Dy 3.41-3.54, 2 La 3.51, 4 Tm 3.59-3.68
Dy 0.5000 0.2403 0.5019  2 Dy 3.07-3.28, 2 La 3.41
Dy 0.5000 0.7597 0.4981  2 Dy 3.07-3.28, 2 La 3.41
Dy 0.0000 0.5620 0.1615  7 Dy 3.48-3.66, 3 Tm 3.49-3.76, 2 La 3.54
Dy 0.0000 0.0000 0.0000  8 Dy 3.48-3.57, 4 Tm 3.63
Dy 0.0000 0.4380 0.8385  7 Dy 3.48-3.66, 3 Tm 3.49-3.76, 2 La 3.54
Dy 0.5000 0.9358 0.8336  8 Dy 3.51-3.66, 3 Tm 3.52-3.69, 1 La 3.52
Dy 0.5000 0.0642 0.1664  8 Dy 3.51-3.66, 3 Tm 3.52-3.69, 1 La 3.52
Tm 0.5000 0.5000 0.0000  10 Dy 3.49-3.63, 2 Tm 3.51
Tm 0.0000 0.1104 0.3430  2 Tm 3.51, 7 Dy 3.56-3.76, 4 La 3.59-3.68
Tm 0.0000 0.8896 0.6570  2 Tm 3.51, 7 Dy 3.56-3.76, 4 La 3.59-3.68


Record 2
Material: UPaS2
Method: DFT, PBE
State: relaxed

Calculated values
**Polymorph energy (0 for the lowest one)**: 0.450 eV per atom
**DOS at the Fermi energy**: 2.830 states/eV/atom
**Total energy**: -33.24 eV per formula unit
**Uncorrected formation energy**: -1.0492 eV per atom

a b c (Å): 4.8276 4.8276 4.8276
angles (deg): 60.00 60.00 60.00
With the nearest neighbours (Å) after each atom.
Fractional coordinates of all 4 atoms:
S 0.2500 0.2500 0.2500  4 Pa 2.96, 4 U 2.96
S 0.7500 0.7500 0.7500  4 Pa 2.96, 4 U 2.96
Pa 0.5000 0.5000 0.5000  8 S 2.96
U 0.0000 0.0000 0.0000  8 S 2.96


Record 3
Material: La3SiSb
Method: DFT, PBE
State: relaxed

Calculated values
**Polymorph energy (0 for the lowest one)**: 0.275 eV per atom
**DOS at the Fermi energy**: 0.982 states/eV/atom
**Total energy**: -26.68 eV per formula unit
**Uncorrected formation energy**: -0.4703 eV per atom

a b c (Å): 5.6223 5.6223 5.6223
angles (deg): 90.00 90.00 90.00
With the nearest neighbours (Å) after each atom.
Fractional coordinates of all 5 atoms:
Sb 0.5000 0.5000 0.5000  12 La 3.98
Si 0.0000 0.0000 0.0000  6 La 2.81
La 0.0000 0.5000 0.0000  2 Si 2.81
La 0.0000 0.0000 0.5000  2 Si 2.81
La 0.5000 0.0000 0.0000  2 Si 2.81


Record 4
Material: Cd2GaF5
Method: DFT, PBE
State: relaxed

Calculated values
**DOS at the Fermi energy**: 0.000 states/eV/atom
**Total energy**: -30.98 eV per formula unit
**Uncorrected formation energy**: -2.0956 eV per atom

a b c (Å): 3.9729 7.3629 9.5719
angles (deg): 90.00 90.00 105.65
With the nearest neighbours (Å) after each atom.
Fractional coordinates of all 16 atoms:
Cd 0.8681 0.7361 0.3886  1 F 2.25
Cd 0.8681 0.7361 0.1114  1 F 2.25
Cd 0.1319 0.2639 0.6114  1 F 2.25
Cd 0.1319 0.2639 0.8886  1 F 2.25
Ga 0.8404 0.6807 0.7500  6 F 1.90-1.99
Ga 0.1596 0.3193 0.2500  6 F 1.90-1.99
F 0.9313 0.8626 0.8957  1 Ga 1.90
F 0.9313 0.8626 0.6043  1 Ga 1.90
F 0.2531 0.5063 0.3955  1 Ga 1.92
F 0.2531 0.5063 0.1045  1 Ga 1.92
F 0.6616 0.3232 0.2500  2 Ga 1.99
F 0.3384 0.6768 0.7500  2 Ga 1.99
F 0.7469 0.4937 0.6045  1 Ga 1.92
F 0.7469 0.4937 0.8955  1 Ga 1.92
F 0.0687 0.1374 0.1043  1 Ga 1.90
F 0.0687 0.1374 0.3957  1 Ga 1.90


Record 5
Material: SiTc2P
Method: DFT, PBE
State: relaxed

Calculated values
**Polymorph energy (0 for the lowest one)**: 0.277 eV per atom
**DOS at the Fermi energy**: 0.915 states/eV/atom
**Total energy**: -32.47 eV per formula unit
**Uncorrected formation energy**: -0.2254 eV per atom

a b c (Å): 7.6698 7.6698 7.6698
angles (deg): 21.82 21.82 21.82
With the nearest neighbours (Å) after each atom.
Fractional coordinates of all 4 atoms:
P 0.7500 0.7500 0.7500  6 Tc 2.45
Si 0.2500 0.2500 0.2500  6 Tc 2.57
Tc 0.0037 0.0037 0.0037  3 P 2.45, 3 Si 2.57
Tc 0.4963 0.4963 0.4963  3 P 2.45, 3 Si 2.57


Record 6
Material: LiZr3Pa2N6
Method: DFT, PBE
State: relaxed

Calculated values
**DOS at the Fermi energy**: 0.402 states/eV/atom
**Total energy**: -115.26 eV per formula unit
**Uncorrected formation energy**: -1.5633 eV per atom

a b c (Å): 3.3284 6.7629 7.4186
angles (deg): 104.50 102.96 90.00
With the nearest neighbours (Å) after each atom.
Fractional coordinates of all 12 atoms:
Li 0.5000 0.0000 0.0000  6 N 2.34-2.44
Zr 0.5000 0.5000 0.0000  6 N 2.28-2.31
Zr 0.8410 0.1708 0.6819  6 N 2.23-2.43
Zr 0.1590 0.8292 0.3181  6 N 2.23-2.43
Pa 0.8389 0.6773 0.6777  6 N 2.25-2.48
Pa 0.1611 0.3227 0.3223  6 N 2.25-2.48
N 0.3326 0.9234 0.6652  3 Zr 2.34-2.43, 1 Li 2.34, 2 Pa 2.37
N 0.6628 0.5949 0.3256  3 Zr 2.28-2.31, 3 Pa 2.46-2.48
N 0.6674 0.0766 0.3348  3 Zr 2.34-2.43, 1 Li 2.34, 2 Pa 2.37
N 0.0008 0.2641 0.0015  3 Zr 2.23-2.31, 1 Pa 2.25, 2 Li 2.44
N 0.9992 0.7359 0.9985  3 Zr 2.23-2.31, 1 Pa 2.25, 2 Li 2.44
N 0.3372 0.4051 0.6744  3 Zr 2.28-2.31, 3 Pa 2.46-2.48